# V4Cu3O12, relaxed, DFT GGA+U
data_V4Cu3O12
_symmetry_space_group_name_H-M 'P 1'
_symmetry_Int_Tables_number 1
_cell_length_a 6.308
_cell_length_b 6.308
_cell_length_c 6.308
_cell_angle_alpha 109.47
_cell_angle_beta 109.47
_cell_angle_gamma 109.47
loop_
_symmetry_equiv_pos_as_xyz
'x,y,z'
loop_
_atom_site_label
_atom_site_fract_x
_atom_site_fract_y
_atom_site_fract_z
V1 0.000 0.000 0.500
V2 0.000 0.500 0.000
V3 0.500 0.000 0.000
V4 0.500 0.500 0.500
Cu1 0.000 0.500 0.500
Cu2 0.500 0.000 0.500
Cu3 0.500 0.500 0.000
O1 0.124 0.308 0.816
O2 0.184 0.493 0.308
O3 0.184 0.876 0.692
O4 0.308 0.184 0.493
O5 0.308 0.816 0.124
O6 0.493 0.308 0.184
O7 0.507 0.692 0.816
O8 0.692 0.184 0.876
O9 0.692 0.816 0.507
O10 0.816 0.124 0.308
O11 0.816 0.507 0.692
O12 0.876 0.692 0.184
# VASP energy = -6.76 eV/atom